Compound: La3Pm2Pb6
Source: the Alexandria database
Functional: PBE-GGA
Structure: optimized geometry

Cell: 6.0647 6.0647 12.1643 Å, 104.43 104.43 90.00°
Last column: nearest neighbours and their distance in Å.
Element x y z (fractional)
Pm  0.4256  0.4256  0.8511  5 Pb 3.03-3.04, 1 Pm 3.39
Pm  0.5744  0.5744  0.1489  5 Pb 3.03-3.04, 1 Pm 3.39
Pb  0.7081  0.7081  0.4162  1 Pm 3.04, 1 La 3.21
Pb  0.0754  0.5754  0.1509  2 Pm 3.03
Pb  0.5754  0.0754  0.1509  2 Pm 3.03
Pb  0.4246  0.9246  0.8491  2 Pm 3.03
Pb  0.2919  0.2919  0.5838  1 Pm 3.04, 1 La 3.21
Pb  0.9246  0.4246  0.8491  2 Pm 3.03
La  0.8491  0.8491  0.6983  5 Pb 3.21-3.48, 1 La 3.43
La  0.1509  0.1509  0.3017  5 Pb 3.21-3.48, 1 La 3.43
La  0.0000  0.0000  0.0000  2 La 3.43, 8 Pb 3.48

Computed properties:
- volume (Å³ per cell) = 419
- raw total energy (hartree per atom) = -0.1623
- formation energy from the elements (eV per atom) = -0.19
- total magnetization (μB per formula unit) = 0.00
- N(E_F) (states/eV/f.u.) = 8.77